# 1
DFT (PBE) results for an optimized crystal structure of Fe2TcIr.

Results
**SG**: No. 47
**E_form**: 0.055 eV/atom
**Spin magnetization**: 1.4 μB/f.u.

```
Fe2TcIr
1.0
2.6175 0.0000 0.0000
0.0000 3.6718 0.0000
0.0000 0.0000 5.2484
Fe Tc Ir
2 1 1
direct
0.0000 0.0000 0.2502 Fe
0.0000 0.0000 0.7498 Fe
0.5000 0.5000 0.0000 Tc
0.5000 0.5000 0.5000 Ir
```


# 2
DFT (PBE) results for an optimized crystal structure of FeTcIr2.

Results
**SG**: No. 139
**E_form**: -0.118 eV/atom
**Spin magnetization**: 2.0 μB/f.u.
**ΔE to the lowest computed polymorph**: 0.0186 eV/atom

```
FeTcIr2
1.0
-1.9120 1.9120 3.8056
1.9120 -1.9120 3.8056
1.9120 1.9120 -3.8056
Fe Tc Ir
1 1 2
direct
0.0000 0.0000 0.0000 Fe
0.5000 0.5000 0.0000 Tc
0.2500 0.7500 0.5000 Ir
0.7500 0.2500 0.5000 Ir
```


# 3
DFT (PBE) results for an optimized crystal structure of Fe2TcIr.

Results
**SG**: No. 10
**E_form**: 0.039 eV/atom
**Spin magnetization**: 4.1 μB/f.u.

```
Fe2TcIr
1.0
4.5337 0.0000 0.0000
0.0000 2.6642 0.0000
-1.5939 0.0000 4.3615
Fe Tc Ir
2 1 1
direct
0.0000 0.0000 0.0000 Fe
0.0000 0.5000 0.5000 Fe
0.5000 0.0000 0.5000 Tc
0.5000 0.5000 0.0000 Ir
```


# 4
DFT (PBE) results for an optimized crystal structure of Fe2TcIr9.

Results
**SG**: No. 123
**E_form**: -0.084 eV/atom
**Spin magnetization**: 6.6 μB/f.u.

```
Fe2TcIr9
1.0
3.8433 0.0000 0.0000
0.0000 3.8433 0.0000
0.0000 0.0000 11.5369
Fe Tc Ir
2 1 9
direct
0.0000 0.0000 0.1633 Fe
0.0000 0.0000 0.8367 Fe
0.0000 0.0000 0.5000 Tc
0.0000 0.5000 0.0000 Ir
0.0000 0.5000 0.3332 Ir
0.0000 0.5000 0.6668 Ir
0.5000 0.0000 0.0000 Ir
0.5000 0.0000 0.3332 Ir
0.5000 0.0000 0.6668 Ir
0.5000 0.5000 0.1669 Ir
0.5000 0.5000 0.5000 Ir
0.5000 0.5000 0.8331 Ir
```


# 5
DFT (PBE) results for an optimized crystal structure of Fe2TcIr2.

Results
**SG**: No. 127
**E_form**: 0.122 eV/atom
**Spin magnetization**: 2.5 μB/f.u.
**ΔE to the lowest computed polymorph**: 0.0000 eV/atom

```
Fe2TcIr2
1.0
7.0200 0.0000 0.0000
0.0000 7.0200 0.0000
0.0000 0.0000 2.6951
Fe Tc Ir
4 2 4
direct
0.1186 0.3814 0.0000 Fe
0.3814 0.8814 0.0000 Fe
0.6186 0.1186 0.0000 Fe
0.8814 0.6186 0.0000 Fe
0.0000 0.0000 0.0000 Tc
0.5000 0.5000 0.0000 Tc
0.1768 0.6768 0.5000 Ir
0.3232 0.1768 0.5000 Ir
0.6768 0.8232 0.5000 Ir
0.8232 0.3232 0.5000 Ir
```


# 6
DFT (PBE) results for an optimized crystal structure of FeTcIr2.

Results
**SG**: No. 122
**E_form**: 0.940 eV/atom
**Spin magnetization**: 0.0 μB/f.u.
**ΔE to the lowest computed polymorph**: 1.0769 eV/atom

```
FeTcIr2
1.0
-2.6604 2.6604 5.5449
2.6604 -2.6604 5.5449
2.6604 2.6604 -5.5449
Fe Tc Ir
2 2 4
direct
0.0000 0.0000 0.0000 Fe
0.7500 0.2500 0.5000 Fe
0.2500 0.7500 0.5000 Tc
0.5000 0.5000 0.0000 Tc
0.1025 0.6250 0.9775 Ir
0.3750 0.3525 0.4775 Ir
0.6475 0.1250 0.0225 Ir
0.8750 0.8975 0.5225 Ir
```


# 7
DFT (PBE) results for an optimized crystal structure of Fe2TcIr.

Results
**SG**: No. 47
**E_form**: 0.172 eV/atom
**Spin magnetization**: 5.9 μB/f.u.

```
Fe2TcIr
1.0
2.8124 0.0000 0.0000
0.0000 4.3422 0.0000
0.0000 0.0000 4.4634
Fe Tc Ir
2 1 1
direct
0.0000 0.0000 0.0000 Fe
0.5000 0.0000 0.5000 Fe
0.0000 0.5000 0.5000 Tc
0.5000 0.5000 0.0000 Ir
```


# 8
DFT (PBE) results for an optimized crystal structure of FeTc2Ir2.

Results
**SG**: No. 2
**E_form**: -0.016 eV/atom
**Spin magnetization**: 1.7 μB/f.u.
**ΔE to the lowest computed polymorph**: 0.0000 eV/atom

```
FeTc2Ir2
1.0
2.7171 0.0000 0.0000
-0.0021 6.4838 0.0000
-1.3540 -2.9031 8.0404
Fe Tc Ir
2 4 4
direct
0.0754 0.0973 0.1531 Fe
0.9246 0.9027 0.8469 Fe
0.2357 0.3201 0.4711 Tc
0.4860 0.2790 0.9702 Tc
0.5140 0.7210 0.0298 Tc
0.7643 0.6799 0.5289 Tc
0.1191 0.5398 0.2382 Ir
0.3256 0.0595 0.6509 Ir
0.6744 0.9405 0.3491 Ir
0.8809 0.4602 0.7618 Ir
```


# 9
DFT (PBE) results for an optimized crystal structure of FeTc2Ir9.

Results
**SG**: No. 123
**E_form**: -0.119 eV/atom
**Spin magnetization**: 3.1 μB/f.u.

```
FeTc2Ir9
1.0
3.8557 0.0000 0.0000
0.0000 3.8557 0.0000
0.0000 0.0000 11.5860
Fe Tc Ir
1 2 9
direct
0.0000 0.0000 0.0000 Fe
0.0000 0.0000 0.3285 Tc
0.0000 0.0000 0.6715 Tc
0.0000 0.5000 0.1668 Ir
0.0000 0.5000 0.5000 Ir
0.0000 0.5000 0.8332 Ir
0.5000 0.0000 0.1668 Ir
0.5000 0.0000 0.5000 Ir
0.5000 0.0000 0.8332 Ir
0.5000 0.5000 0.0000 Ir
0.5000 0.5000 0.3341 Ir
0.5000 0.5000 0.6659 Ir
```


# 10
DFT (PBE) results for an optimized crystal structure of FeTcIr2.

Results
**SG**: No. 47
**E_form**: -0.134 eV/atom
**Spin magnetization**: 2.6 μB/f.u.
**ΔE to the lowest computed polymorph**: 0.0029 eV/atom

```
FeTcIr2
1.0
2.7231 0.0000 0.0000
0.0000 3.7892 0.0000
0.0000 0.0000 5.3970
Fe Tc Ir
1 1 2
direct
0.0000 0.0000 0.0000 Fe
0.0000 0.0000 0.5000 Tc
0.5000 0.5000 0.2466 Ir
0.5000 0.5000 0.7534 Ir
```


# 11
DFT (PBE) results for an optimized crystal structure of Fe2Tc2Ir15.

Results
**SG**: No. 166
**E_form**: 0.438 eV/atom
**Spin magnetization**: 6.7 μB/f.u.

```
Fe2Tc2Ir15
1.0
4.4156 2.5494 4.4914
-4.4156 2.5494 4.4914
0.0000 -5.0987 4.4914
Fe Tc Ir
2 2 15
direct
0.0912 0.0912 0.0912 Fe
0.9088 0.9088 0.9088 Fe
0.2729 0.2729 0.2729 Tc
0.7271 0.7271 0.7271 Tc
0.0000 0.0000 0.5000 Ir
0.0000 0.3057 0.6943 Ir
0.0000 0.5000 0.0000 Ir
0.0000 0.6943 0.3057 Ir
0.1510 0.6483 0.6483 Ir
0.3057 0.0000 0.6943 Ir
0.3057 0.6943 0.0000 Ir
0.3517 0.3517 0.8490 Ir
0.3517 0.8490 0.3517 Ir
0.5000 0.0000 0.0000 Ir
0.6483 0.1510 0.6483 Ir
0.6483 0.6483 0.1510 Ir
0.6943 0.0000 0.3057 Ir
0.6943 0.3057 0.0000 Ir
0.8490 0.3517 0.3517 Ir
```


# 12
DFT (PBE) results for an optimized crystal structure of FeTc2Ir2.

Results
**SG**: No. 127
**E_form**: 0.337 eV/atom
**Spin magnetization**: 0.0 μB/f.u.
**ΔE to the lowest computed polymorph**: 0.3530 eV/atom

```
FeTc2Ir2
1.0
7.4196 0.0000 0.0000
0.0000 7.4196 0.0000
0.0000 0.0000 2.7331
Fe Tc Ir
2 4 4
direct
0.0000 0.0000 0.0000 Fe
0.5000 0.5000 0.0000 Fe
0.1717 0.3283 0.5000 Tc
0.3283 0.8283 0.5000 Tc
0.6717 0.1717 0.5000 Tc
0.8283 0.6717 0.5000 Tc
0.1259 0.6259 0.0000 Ir
0.3741 0.1259 0.0000 Ir
0.6259 0.8741 0.0000 Ir
0.8741 0.3741 0.0000 Ir
```


# 13
DFT (PBE) results for an optimized crystal structure of Fe2TcIr.

Results
**SG**: No. 216
**E_form**: 0.148 eV/atom
**Spin magnetization**: 5.9 μB/f.u.

```
Fe2TcIr
1.0
0.0000 3.0046 3.0046
3.0046 0.0000 3.0046
3.0046 3.0046 0.0000
Fe Tc Ir
2 1 1
direct
0.0000 0.0000 0.0000 Fe
0.2500 0.2500 0.2500 Fe
0.7500 0.7500 0.7500 Tc
0.5000 0.5000 0.5000 Ir
```


# 14
DFT (PBE) results for an optimized crystal structure of Fe3TcIr12.

Results
**SG**: No. 123
**E_form**: -0.090 eV/atom
**Spin magnetization**: 3.2 μB/f.u.

```
Fe3TcIr12
1.0
3.8348 0.0000 0.0000
0.0000 3.8348 0.0000
0.0000 0.0000 15.3557
Fe Tc Ir
3 1 12
direct
0.0000 0.0000 0.0000 Fe
0.0000 0.0000 0.2442 Fe
0.0000 0.0000 0.7558 Fe
0.0000 0.0000 0.5000 Tc
0.0000 0.5000 0.1245 Ir
0.0000 0.5000 0.3748 Ir
0.0000 0.5000 0.6252 Ir
0.0000 0.5000 0.8755 Ir
0.5000 0.0000 0.1245 Ir
0.5000 0.0000 0.3748 Ir
0.5000 0.0000 0.6252 Ir
0.5000 0.0000 0.8755 Ir
0.5000 0.5000 0.0000 Ir
0.5000 0.5000 0.2495 Ir
0.5000 0.5000 0.5000 Ir
0.5000 0.5000 0.7505 Ir
```


# 15
DFT (PBE) results for an optimized crystal structure of Fe2TcIr.

Results
**SG**: No. 65
**E_form**: 0.048 eV/atom
**Spin magnetization**: 3.5 μB/f.u.

```
Fe2TcIr
1.0
2.6572 -3.6715 0.0000
2.6572 3.6715 0.0000
0.0000 0.0000 2.6537
Fe Tc Ir
2 1 1
direct
0.0000 0.5000 0.0000 Fe
0.5000 0.0000 0.0000 Fe
0.0000 0.0000 0.5000 Tc
0.5000 0.5000 0.5000 Ir
```


# 16
DFT (PBE) results for an optimized crystal structure of FeTcIr3.

Results
**SG**: No. 62
**E_form**: -0.091 eV/atom
**Spin magnetization**: 2.6 μB/f.u.
**ΔE to the lowest computed polymorph**: 0.0000 eV/atom

```
FeTcIr3
1.0
5.4231 0.0000 0.0000
0.0000 3.8286 0.0000
0.0000 0.0000 13.5625
Fe Tc Ir
4 4 12
direct
0.1248 0.2500 0.1512 Fe
0.3752 0.7500 0.6512 Fe
0.6248 0.2500 0.3488 Fe
0.8752 0.7500 0.8488 Fe
0.1226 0.2500 0.5468 Tc
0.3774 0.7500 0.0468 Tc
0.6226 0.2500 0.9532 Tc
0.8774 0.7500 0.4532 Tc
0.1191 0.2500 0.3500 Ir
0.1243 0.2500 0.9513 Ir
0.1273 0.2500 0.7477 Ir
0.3727 0.7500 0.2477 Ir
0.3757 0.7500 0.4513 Ir
0.3809 0.7500 0.8500 Ir
0.6191 0.2500 0.1500 Ir
0.6243 0.2500 0.5487 Ir
0.6273 0.2500 0.7523 Ir
0.8727 0.7500 0.2523 Ir
0.8757 0.7500 0.0487 Ir
0.8809 0.7500 0.6500 Ir
```


# 17
DFT (PBE) results for an optimized crystal structure of FeTcIr2.

Results
**SG**: No. 25
**E_form**: -0.057 eV/atom
**Spin magnetization**: 2.2 μB/f.u.
**ΔE to the lowest computed polymorph**: 0.0790 eV/atom

```
FeTcIr2
1.0
2.7094 0.0000 0.0000
0.0000 3.8045 0.0000
0.0000 0.0000 5.3869
Fe Tc Ir
1 1 2
direct
0.0000 0.0000 0.0000 Fe
0.5000 0.5000 0.7483 Tc
0.0000 0.0000 0.5051 Ir
0.5000 0.5000 0.2284 Ir
```


# 18
DFT (PBE) results for an optimized crystal structure of FeTcIr2.

Results
**SG**: No. 99
**E_form**: -0.020 eV/atom
**Spin magnetization**: 2.1 μB/f.u.
**ΔE to the lowest computed polymorph**: 0.1167 eV/atom

```
FeTcIr2
1.0
2.7077 0.0000 0.0000
0.0000 2.7077 0.0000
0.0000 0.0000 7.5568
Fe Tc Ir
1 1 2
direct
0.0000 0.0000 0.0000 Fe
0.5000 0.5000 0.7520 Tc
0.0000 0.0000 0.4994 Ir
0.5000 0.5000 0.2315 Ir
```


# 19
DFT (PBE) results for an optimized crystal structure of FeTcIr2.

Results
**SG**: No. 65
**E_form**: -0.076 eV/atom
**Spin magnetization**: 2.4 μB/f.u.
**ΔE to the lowest computed polymorph**: 0.0601 eV/atom

```
FeTcIr2
1.0
2.7040 -3.7954 0.0000
2.7040 3.7954 0.0000
0.0000 0.0000 2.7112
Fe Tc Ir
1 1 2
direct
0.0000 0.0000 0.0000 Fe
0.5000 0.5000 0.0000 Tc
0.0000 0.5000 0.5000 Ir
0.5000 0.0000 0.5000 Ir
```


# 20
DFT (PBE) results for an optimized crystal structure of Fe2TcIr8.

Results
**SG**: No. 65
**E_form**: 0.154 eV/atom
**Spin magnetization**: 3.9 μB/f.u.

```
Fe2TcIr8
1.0
3.9843 -5.0229 0.0000
3.9843 5.0229 0.0000
0.0000 0.0000 4.0185
Fe Tc Ir
2 1 8
direct
0.1141 0.8859 0.0000 Fe
0.8859 0.1141 0.0000 Fe
0.5000 0.5000 0.5000 Tc
0.1635 0.1635 0.5000 Ir
0.2011 0.4664 0.0000 Ir
0.2403 0.7597 0.5000 Ir
0.4664 0.2011 0.0000 Ir
0.5336 0.7989 0.0000 Ir
0.7597 0.2403 0.5000 Ir
0.7989 0.5336 0.0000 Ir
0.8365 0.8365 0.5000 Ir
```


# 21
DFT (PBE) results for an optimized crystal structure of VFeTcIr.

Results
**SG**: No. 216
**E_form**: -0.175 eV/atom
**Spin magnetization**: 4.0 μB/f.u.

```
VFeTcIr
1.0
0.0000 3.0129 3.0129
3.0129 0.0000 3.0129
3.0129 3.0129 0.0000
V Fe Tc Ir
1 1 1 1
direct
0.0000 0.0000 0.0000 V
0.5000 0.5000 0.5000 Fe
0.2500 0.2500 0.2500 Tc
0.7500 0.7500 0.7500 Ir
```


# 22
DFT (PBE) results for an optimized crystal structure of ZnFeTcIr2.

Results
**SG**: No. 123
**E_form**: 1.534 eV/atom
**Spin magnetization**: 6.1 μB/f.u.

```
ZnFeTcIr2
1.0
4.4964 0.0000 0.0000
0.0000 4.4964 0.0000
0.0000 0.0000 4.2823
Zn Fe Tc Ir
1 1 1 2
direct
0.0000 0.0000 0.0000 Zn
0.0000 0.0000 0.5000 Fe
0.5000 0.5000 0.5000 Tc
0.0000 0.5000 0.0000 Ir
0.5000 0.0000 0.0000 Ir
```


# 23
DFT (PBE) results for an optimized crystal structure of ZnFeTcIr.

Results
**SG**: No. 216
**E_form**: 0.014 eV/atom
**Spin magnetization**: 2.1 μB/f.u.

```
ZnFeTcIr
1.0
0.0000 3.0059 3.0059
3.0059 0.0000 3.0059
3.0059 3.0059 0.0000
Zn Fe Tc Ir
1 1 1 1
direct
0.0000 0.0000 0.0000 Zn
0.5000 0.5000 0.5000 Fe
0.2500 0.2500 0.2500 Tc
0.7500 0.7500 0.7500 Ir
```


# 24
DFT (PBE) results for an optimized crystal structure of FeTeIr3.

Results
**SG**: No. 221
**E_form (uncorrected)**: 1341 meV per atom
**Spin magnetization**: 0.0 μB/f.u.
**ΔE to the lowest computed polymorph**: 0.0000 eV/atom

```
FeTeIr3
1.0
4.5194 0.0000 0.0000
0.0000 4.5194 0.0000
0.0000 0.0000 4.5194
Fe Te Ir
1 1 3
direct
0.0000 0.0000 0.0000 Fe
0.5000 0.5000 0.5000 Te
0.0000 0.0000 0.5000 Ir
0.0000 0.5000 0.0000 Ir
0.5000 0.0000 0.0000 Ir
```


# 25
DFT (PBE) results for an optimized crystal structure of FeTeIr.

Results
**SG**: No. 156
**E_form (uncorrected)**: 491 meV per atom
**Spin magnetization**: 2.7 μB/f.u.
**ΔE to the lowest computed polymorph**: 0.3271 eV/atom

```
FeTeIr
1.0
4.3546 0.0000 0.0000
-2.1773 3.7712 0.0000
0.0000 0.0000 3.0616
Fe Te Ir
1 1 1
direct
0.0000 0.0000 0.0000 Fe
0.3333 0.6667 0.7125 Te
0.6667 0.3333 0.4483 Ir
```